{"formula": "AcPrNdSe3", "functional": "PBE", "state": "relaxed", "lattice_angstrom": [[4.2670, 0.0000, 0.0000], [0.0000, 8.3442, 0.2998], [0.0000, -2.8656, 10.3652]], "species": ["Ac", "Ac", "Pr", "Pr", "Nd", "Nd", "Se", "Se", "Se", "Se", "Se", "Se"], "frac_coords": [[0.7500, 0.8158, 0.7915], [0.2500, 0.1842, 0.2085], [0.2500, 0.1728, 0.6214], [0.7500, 0.8272, 0.3786], [0.2500, 0.6587, 0.0957], [0.7500, 0.3413, 0.9043], [0.2500, 0.7998, 0.5672], [0.7500, 0.9062, 0.1087], [0.7500, 0.4688, 0.1930], [0.7500, 0.2002, 0.4328], [0.2500, 0.5312, 0.8070], [0.2500, 0.0938, 0.8913]], "dos_at_fermi_per_ev_atom": 0.40, "sg": "P2_1/m", "total_energy_ev_per_atom": -5.6952, "raw_formation_energy_kj_per_mol_fu": -971}

{"formula": "Ac4PrNdSe8", "functional": "PBE", "state": "relaxed", "lattice_angstrom": [[9.0964, 0.0000, 0.0000], [4.5482, 7.8777, 0.0000], [4.5482, 2.6259, 7.2435]], "species": ["Ac", "Ac", "Ac", "Ac", "Pr", "Nd", "Se", "Se", "Se", "Se", "Se", "Se", "Se", "Se"], "frac_coords": [[0.6221, 0.6221, 0.1337], [0.0026, 0.4916, 0.5032], [0.4916, 0.0026, 0.5032], [0.0026, 0.0026, 0.5032], [0.0050, 0.0050, 0.9850], [0.3769, 0.3769, 0.8694], [0.2426, 0.7599, 0.7549], [0.7599, 0.2426, 0.7549], [0.2426, 0.2426, 0.7549], [0.2472, 0.2472, 0.2583], [0.7645, 0.2192, 0.2517], [0.2192, 0.7645, 0.2517], [0.7645, 0.7645, 0.2517], [0.7586, 0.7586, 0.7243]], "dos_at_fermi_per_ev_atom": 0.39, "sg": "R3m", "total_energy_ev_per_atom": -5.6309, "raw_formation_energy_kj_per_mol_fu": -2410}

{"formula": "AcPr4Nd3Se8", "functional": "PBE", "state": "relaxed", "lattice_angstrom": [[8.5645, 0.0000, 0.0000], [0.0000, 8.5594, -0.0084], [-4.2822, -4.2773, 6.0584]], "species": ["Ac", "Pr", "Pr", "Pr", "Pr", "Nd", "Nd", "Nd", "Se", "Se", "Se", "Se", "Se", "Se", "Se", "Se"], "frac_coords": [[0.0000, 0.5000, 0.0000], [0.5000, 0.0000, 0.0000], [0.5000, 0.0000, 0.5000], [0.0000, 0.0000, 0.0000], [0.0000, 0.0000, 0.5000], [0.5000, 0.5000, 0.0000], [0.5000, 0.5000, 0.5000], [0.0000, 0.5000, 0.5000], [0.2538, 0.7516, 0.9978], [0.2538, 0.7515, 0.5075], [0.2511, 0.2532, 0.5022], [0.7440, 0.7516, 0.9978], [0.2560, 0.2484, 0.0022], [0.7489, 0.7468, 0.4978], [0.7462, 0.2485, 0.4925], [0.7462, 0.2484, 0.0022]], "dos_at_fermi_per_ev_atom": 0.67, "sg": "R-3m", "total_energy_ev_per_atom": -5.9223, "raw_formation_energy_kj_per_mol_fu": -2832}

{"formula": "AcPrNdSm", "functional": "PBE", "state": "relaxed", "lattice_angstrom": [[5.3075, 0.0000, 0.0000], [0.0000, 5.3171, 0.0000], [-2.6537, -2.6585, 5.3230]], "species": ["Ac", "Pr", "Nd", "Sm"], "frac_coords": [[0.4455, 0.4455, 0.8909], [0.1958, 0.6958, 0.3916], [0.6953, 0.1953, 0.3906], [0.9457, 0.9457, 0.8913]], "dos_at_fermi_per_ev_atom": 1.86, "sg": "I-4m2", "e_above_lowest_polymorph_mev_per_atom": 0, "total_energy_ev_per_atom": -4.5581, "e_form_ev_per_atom": 0.036}